Entry 1:
InGaAu: relaxed, GGA-PBE.

Results
The theoretical density is 9.37 g/cm³.

```
6
Lattice="4.565 0.000 0.000 0.000 4.565 0.000 0.000 0.000 6.490" Properties=species:S:1:pos:R:3 pbc="T T T"
Ga 2.282 2.282 4.868
Ga 2.282 2.282 1.623
In 0.000 0.000 4.868
In 0.000 0.000 1.623
Au 0.000 2.282 3.245
Au 2.282 0.000 0.000
```

---

Entry 2:
Cs2KPaOF5: relaxed, GGA-PBE.

Results
The theoretical density is 5.25 g/cm³. The total magnetic moment comes out at 0.100 μB/atom.

```
10
Lattice="6.176 -2.141 0.962 1.713 6.028 2.091 -5.048 -3.154 2.866" Properties=species:S:1:pos:R:3 pbc="T T T"
F 6.060 2.986 2.345
F 2.722 4.038 1.797
F 3.309 1.284 3.788
F 5.043 -0.211 1.209
F -0.591 -0.611 2.085
Pa 0.122 0.060 0.047
K 3.959 1.951 1.533
Cs 0.349 2.431 3.259
Cs 2.580 -1.654 2.695
O 1.848 0.911 0.715
```

---

Entry 3:
BaYOs: relaxed, GGA-PBE.

Results
The theoretical density is 7.79 g/cm³. The total magnetic moment comes out at 0.000 μB/atom.

```
3
Lattice="0.000 3.541 3.541 3.541 0.000 3.541 3.541 3.541 0.000" Properties=species:S:1:pos:R:3 pbc="T T T"
Y 5.312 5.312 5.312
Ba 1.771 1.771 1.771
Os 0.000 0.000 0.000
```

---

E list, top to bottom, in eV/atom: -3.21, -5.58, -6.11